Computed, not measured: MnNbF2 after structural relaxation at the PBE with a Hubbard U level of DFT.

Structure (POSCAR):
```
MnNbF2
1.0
1.670 0.000 8.412
-0.835 1.446 8.412
-0.835 -1.446 8.412
F Mn Nb
2 1 1
Cartesian
0.000 0.000 2.648
0.000 0.000 22.588
0.000 0.000 0.000
0.000 0.000 12.618
```

The value obtained for the total energy is -6.593 eV per atom. The space group is R-3m (166). For the energy above the most stable polymorph in this dataset, the calculation gives 0 meV per atom.

---

Computed, not measured: Mn3NbF6 after structural relaxation at the PBE with a Hubbard U level of DFT.

Structure (POSCAR):
```
Mn3NbF6
1.0
2.265 -0.809 5.386
-5.824 -1.658 -1.715
2.485 -4.462 -1.733
F Nb Mn
6 1 3
Cartesian
-1.889 -5.095 0.931
0.540 -4.270 -0.776
0.816 -1.833 1.006
-1.614 -2.658 2.714
-1.201 -1.924 -0.383
0.127 -5.004 2.320
0.000 0.000 0.000
-0.537 -3.464 0.969
1.132 -0.404 2.693
-2.912 -0.829 -0.858
```

The value obtained for the total energy is -6.221 eV per atom. The space group is P-1 (2).

---

Computed, not measured: MnNb2F after structural relaxation at the PBE with a Hubbard U level of DFT.

Structure (POSCAR):
```
MnNb2F
1.0
-2.773 3.787 0.458
-3.649 -2.469 -1.683
-4.655 -1.087 5.081
F Mn Nb
2 2 4
Cartesian
-5.758 -1.448 1.393
-3.211 0.659 -0.612
-5.320 1.679 2.464
0.000 0.000 0.000
-9.004 0.410 2.789
-6.007 -0.394 3.302
-3.873 -1.230 0.289
-3.272 1.675 1.333
```

The value obtained for the total energy is -6.442 eV per atom. The space group is I-42d (122). For the energy above the most stable polymorph in this dataset, the calculation gives 254 meV per atom.

---

Computed, not measured: MnNbF2 after structural relaxation at the PBE with a Hubbard U level of DFT.

Structure (POSCAR):
```
MnNbF2
1.0
5.096 0.000 0.000
0.000 5.096 0.000
2.548 2.548 5.200
F Nb Mn
4 2 2
Cartesian
3.822 3.911 3.900
3.733 1.274 1.300
6.370 6.280 3.900
1.363 3.822 1.300
0.000 0.000 0.000
5.096 2.548 2.600
2.548 2.548 0.000
2.548 5.096 2.600
```

The value obtained for the total energy is -6.157 eV per atom. The space group is I-42d (122). For the energy above the most stable polymorph in this dataset, the calculation gives 436 meV per atom.

---

Computed, not measured: Mn3NbF6 after structural relaxation at the PBE with a Hubbard U level of DFT.

Structure (POSCAR):
```
Mn3NbF6
1.0
-7.021 -2.955 0.066
5.803 -1.943 4.536
-1.076 1.699 2.703
F Mn Nb
6 3 1
Cartesian
-1.819 -1.834 5.632
0.679 0.485 3.230
-2.590 0.228 2.091
-2.973 -3.686 4.075
0.296 -3.428 5.215
-0.475 -1.366 1.673
2.901 -0.972 2.268
-3.510 -1.478 0.033
-1.147 -1.600 3.653
0.000 0.000 0.000
```

The value obtained for the total energy is -6.122 eV per atom. The space group is C2/m (12).

---

Computed, not measured: Mn3NbF after structural relaxation at the PBE with a Hubbard U level of DFT.

Structure (POSCAR):
```
Mn3NbF
1.0
-5.003 1.195 -1.130
-0.464 -4.496 -2.702
-1.578 -2.468 4.376
Nb F Mn
1 1 3
Cartesian
0.000 0.000 0.000
-3.522 -2.884 0.272
-2.501 0.598 -0.565
-0.789 -1.234 2.188
-0.232 -2.248 -1.351
```

The value obtained for the total energy is -5.776 eV per atom. The space group is Pm-3m (221). For the energy above the most stable polymorph in this dataset, the calculation gives 986 meV per atom.

---

Computed, not measured: Mn2NbF after structural relaxation at the PBE with a Hubbard U level of DFT.

Structure (POSCAR):
```
Mn2NbF
1.0
-6.626 2.620 0.340
-1.518 -4.526 5.300
-3.271 0.844 4.583
F Nb Mn
2 2 4
Cartesian
-4.072 -0.953 2.820
-4.431 -2.317 6.352
-6.984 1.256 3.871
0.000 0.000 0.000
-5.611 -0.392 5.916
-9.475 -0.724 8.009
-4.694 1.103 1.997
-3.049 -2.110 4.524
```

The value obtained for the total energy is -6.728 eV per atom. The space group is I-42d (122). For the energy above the most stable polymorph in this dataset, the calculation gives 0 meV per atom.

---

Computed, not measured: MnNb3F after structural relaxation at the PBE with a Hubbard U level of DFT.

Structure (POSCAR):
```
MnNb3F
1.0
-2.038 -3.299 2.495
3.868 -2.505 -0.152
1.464 2.026 3.875
Nb Mn F
3 1 1
Cartesian
-1.019 -1.649 1.247
0.732 1.013 1.937
1.934 -1.252 -0.076
0.000 0.000 0.000
1.647 -1.889 3.109
```

The value obtained for the total energy is -6.570 eV per atom. The space group is Pm-3m (221). For the energy above the most stable polymorph in this dataset, the calculation gives 1212 meV per atom.

---

Computed, not measured: MnNbF2 after structural relaxation at the PBE with a Hubbard U level of DFT.

Structure (POSCAR):
```
MnNbF2
1.0
0.897 -3.222 2.720
1.095 0.865 4.079
-2.724 -0.935 3.207
Mn F Nb
1 2 1
Cartesian
0.000 0.000 0.000
-0.549 -2.469 7.505
-0.183 -0.823 2.502
-0.366 -1.646 5.003
```

The value obtained for the total energy is -5.898 eV per atom. The space group is Fm-3m (225). For the energy above the most stable polymorph in this dataset, the calculation gives 694 meV per atom.

---

Computed, not measured: MnNb3F after structural relaxation at the PBE with a Hubbard U level of DFT.

Structure (POSCAR):
```
MnNb3F
1.0
4.360 0.000 0.000
0.000 4.360 0.000
0.000 0.000 4.360
Nb F Mn
3 1 1
Cartesian
2.180 0.000 0.000
0.000 0.000 2.180
0.000 2.180 0.000
0.000 0.000 0.000
2.180 2.180 2.180
```

The value obtained for the total energy is -7.782 eV per atom. The space group is Pm-3m (221). For the energy above the most stable polymorph in this dataset, the calculation gives 0 meV per atom.

---

Computed, not measured: Mn2NbF after structural relaxation at the PBE with a Hubbard U level of DFT.

Structure (POSCAR):
```
Mn2NbF
1.0
3.550 -2.895 -0.552
2.900 -0.787 3.501
-0.010 -4.094 2.128
F Mn Nb
1 2 1
Cartesian
0.000 0.000 0.000
4.830 -5.832 3.808
1.610 -1.944 1.269
3.220 -3.888 2.538
```

The value obtained for the total energy is -6.323 eV per atom. The space group is Fm-3m (225). For the energy above the most stable polymorph in this dataset, the calculation gives 405 meV per atom.

---

Computed, not measured: MnNb2F after structural relaxation at the PBE with a Hubbard U level of DFT.

Structure (POSCAR):
```
MnNb2F
1.0
1.419 -4.094 -0.017
-1.905 -2.943 -2.546
2.095 -1.552 -3.460
F Nb Mn
1 2 1
Cartesian
0.000 0.000 0.000
0.402 -2.147 -1.506
1.207 -6.441 -4.518
0.805 -4.294 -3.012
```

The value obtained for the total energy is -6.696 eV per atom. The space group is Fm-3m (225). For the energy above the most stable polymorph in this dataset, the calculation gives 0 meV per atom.

---

Computed, not measured: Mn3NbO6F2 after structural relaxation at the PBE with a Hubbard U level of DFT.

Structure (POSCAR):
```
Mn3NbO6F2
1.0
-1.399 1.323 -4.130
-0.792 -5.676 -1.550
-4.696 3.239 1.909
O Nb Mn F
6 1 3 2
Cartesian
-4.492 2.117 0.261
-1.997 -0.377 -3.252
-2.258 0.537 -0.813
-2.395 -3.231 -4.032
-4.890 -0.738 -0.519
-4.629 -1.652 -2.958
-0.700 0.661 -2.065
-3.047 2.281 -1.110
-0.396 -2.838 -0.775
-3.443 -0.557 -1.886
-4.434 1.277 -2.409
-2.452 -2.391 -1.362
```

The value obtained for the total energy is -7.500 eV per atom. The space group is C2/m (12).

---

Computed, not measured: MnNbPtF2 after structural relaxation at the PBE with a Hubbard U level of DFT.

Structure (POSCAR):
```
MnNbPtF2
1.0
-2.834 2.894 -0.481
-1.535 -0.679 4.963
2.679 2.826 1.215
F Pt Nb Mn
2 1 1 1
Cartesian
1.340 1.413 0.608
-1.417 1.447 -0.240
-0.767 -0.340 2.482
0.000 0.000 0.000
-0.845 2.520 2.849
```

The value obtained for the total energy is -6.617 eV per atom. The space group is P4/mmm (123).

---

Computed, not measured: MnNbRhF2 after structural relaxation at the PBE with a Hubbard U level of DFT.

Structure (POSCAR):
```
MnNbRhF2
1.0
3.761 0.000 0.000
0.000 6.862 0.000
0.000 0.000 3.761
F Mn Nb Rh
2 1 1 1
Cartesian
0.000 0.000 1.880
1.880 0.000 0.000
0.000 0.000 0.000
0.000 3.431 0.000
1.880 3.431 1.880
```

The value obtained for the total energy is -6.412 eV per atom. The space group is P4/mmm (123).

---

Computed, not measured: MnNb2ZnF after structural relaxation at the PBE with a Hubbard U level of DFT.

Structure (POSCAR):
```
MnNb2ZnF
1.0
5.039 0.000 0.000
0.000 5.039 0.000
0.000 0.000 3.850
Nb Mn Zn F
2 1 1 1
Cartesian
0.000 2.519 0.000
2.519 0.000 0.000
2.519 2.519 1.925
0.000 0.000 0.000
0.000 0.000 1.925
```

The value obtained for the total energy is -5.251 eV per atom. The space group is P4/mmm (123).

---

Computed, not measured: ZrMnNbF2 after structural relaxation at the PBE with a Hubbard U level of DFT.

Structure (POSCAR):
```
ZrMnNbF2
1.0
-3.812 -0.436 -1.553
2.328 -1.306 -5.349
0.051 -4.015 1.002
F Nb Zr Mn
2 1 1 1
Cartesian
0.025 -2.008 0.501
-1.906 -0.218 -0.776
1.164 -0.653 -2.674
0.000 0.000 0.000
-0.716 -2.878 -2.950
```

The value obtained for the total energy is -6.869 eV per atom. The space group is P4/mmm (123).

---

Computed, not measured: NdMnF2 after structural relaxation at the PBE with a Hubbard U level of DFT.

Structure (POSCAR):
```
NdMnF2
1.0
3.714 0.000 0.000
1.857 3.216 0.000
1.857 1.072 6.374
F Nd Mn
2 1 1
Cartesian
1.857 1.072 3.959
5.571 3.216 2.416
0.000 0.000 0.000
3.714 2.144 3.187
```

The value obtained for the total energy is -5.858 eV per atom. The space group is R-3m (166).

---

Computed, not measured: RbNdMnF6 after structural relaxation at the PBE with a Hubbard U level of DFT.

Structure (POSCAR):
```
RbNdMnF6
1.0
7.898 0.000 0.000
0.000 7.488 0.000
-3.949 -3.744 5.375
Nd F Rb Mn
2 12 2 2
Cartesian
-1.974 -1.872 2.687
1.974 -1.872 2.687
-1.560 3.614 3.938
0.000 5.616 1.454
2.389 0.130 1.436
0.000 -1.872 4.282
5.509 3.614 1.436
5.509 0.130 1.436
3.949 -1.872 3.921
1.560 0.130 3.938
-1.560 0.130 3.938
3.949 5.616 1.093
2.389 3.614 1.436
1.560 3.614 3.938
0.000 1.872 1.681
3.949 1.872 3.693
3.949 3.744 0.000
3.949 0.000 0.000
```

The value obtained for the total energy is -6.006 eV per atom. The space group is Imma (74).

---

Computed, not measured: NdMn3Tl2F12 after structural relaxation at the PBE with a Hubbard U level of DFT.

Structure (POSCAR):
```
NdMn3Tl2F12
1.0
-6.516 0.800 3.445
-6.053 -2.054 -3.756
-3.392 -6.201 2.239
F Mn Nd Tl
12 3 1 2
Cartesian
-7.730 -4.104 3.796
-3.604 -4.002 1.354
-7.435 -5.924 -0.798
-4.941 -1.919 -1.657
-6.532 -5.996 1.956
-11.020 -5.536 3.585
-10.787 -6.969 -0.032
-8.525 -1.530 2.725
-8.230 -3.351 -1.869
-9.428 -1.459 -0.028
-5.173 -0.486 1.960
-12.356 -3.453 0.574
-1.696 -3.100 1.119
-3.026 -1.027 -1.878
-3.258 0.400 1.723
0.000 0.000 0.000
-10.019 -4.680 1.210
-5.942 -2.775 0.718
```

The value obtained for the total energy is -5.750 eV per atom. The space group is R-3m (166).

---

Computed, not measured: Mn4Ni2F after structural relaxation at the PBE with a Hubbard U level of DFT.

Structure (POSCAR):
```
Mn4Ni2F
1.0
-0.849 -3.430 2.299
3.991 -1.284 -0.442
3.196 0.844 6.303
Mn Ni F
4 2 1
Cartesian
2.571 -0.386 4.237
3.767 -3.483 3.924
1.996 -0.642 -0.221
-0.424 -1.715 1.150
1.956 -1.599 2.201
4.382 -2.271 5.960
0.000 0.000 0.000
```

The value obtained for the total energy is -4.807 eV per atom. The space group is I4/mmm (139).

---

Computed, not measured: MnNiF4 after structural relaxation at the PBE with a Hubbard U level of DFT.

Structure (POSCAR):
```
MnNiF4
1.0
-2.290 2.233 -0.424
-3.226 -3.486 -0.930
-1.134 -0.272 4.697
F Mn Ni
4 1 1
Cartesian
-3.944 -1.713 0.008
-2.706 0.188 3.336
-1.363 -1.175 1.178
-2.997 -2.582 2.589
0.000 0.000 0.000
-3.325 -0.762 1.672
```

The value obtained for the total energy is -5.346 eV per atom. The space group is Cmmm (65).

---

Computed, not measured: MnNi2F6 after structural relaxation at the PBE with a Hubbard U level of DFT.

Structure (POSCAR):
```
MnNi2F6
1.0
4.634 0.000 0.000
0.000 4.509 -2.603
0.000 0.000 5.206
F Ni Mn
6 2 1
Cartesian
1.229 2.961 3.496
1.229 4.509 0.816
1.229 1.547 0.893
3.405 2.961 1.710
3.405 1.547 -0.893
3.405 0.000 1.787
2.317 1.503 2.603
2.317 3.006 0.000
0.000 4.509 2.603
```

The value obtained for the total energy is -4.986 eV per atom. The space group is P-31m (162).

---

Computed, not measured: MnNi3F after structural relaxation at the PBE with a Hubbard U level of DFT.

Structure (POSCAR):
```
MnNi3F
1.0
4.159 0.000 0.000
0.000 4.159 0.000
0.000 0.000 4.159
Ni F Mn
3 1 1
Cartesian
0.000 2.080 0.000
2.080 0.000 0.000
0.000 0.000 2.080
0.000 0.000 0.000
2.080 2.080 2.080
```

The value obtained for the total energy is -2.813 eV per atom. The space group is Pm-3m (221).